[1]
The following is a PBE calculation of a relaxed Pa2Re3Os crystal, from Alexandria via LeMat-Bulk.

Summary:
* Fermi-level density of states: 6.911 states/eV per cell
* uncorrected energy: -11.4795 eV per atom
* DFT formation energy: -0.22 eV/atom
* M_tot: 0.0 μB per formula unit

Geometry as extended XYZ:
```
6
Lattice="4.744 -0.155 -2.349 -3.070 4.306 -0.287 0.032 0.227 5.496" Properties=species:S:1:pos:R:3 pbc="T T T"
Pa 2.415 1.501 -1.220
Pa -0.709 2.877 4.081
Re 0.853 2.189 1.430
Re 0.016 0.114 2.748
Re 2.388 0.036 1.574
Os 0.000 0.000 0.000
```

[2]
The following is a PBE calculation of a relaxed Pa2ReOs crystal, from Alexandria via LeMat-Bulk.

Summary:
* Fermi-level density of states: 4.635 states/eV per cell
* uncorrected energy: -10.7567 eV per atom
* distance to the lowest polymorph of the same formula: 0.00 kcal/mol of atoms
* DFT formation energy: -0.09 eV/atom
* M_tot: 0.0 μB per formula unit

Geometry as extended XYZ:
```
4
Lattice="3.512 0.000 0.000 0.000 3.512 0.000 0.000 0.000 6.648" Properties=species:S:1:pos:R:3 pbc="T T T"
Re 1.756 1.756 0.000
Pa 0.000 0.000 4.947
Pa 0.000 0.000 1.701
Os 1.756 1.756 3.324
```

[3]
The following is a PBE calculation of a relaxed PaReOs2 crystal, from Alexandria via LeMat-Bulk.

Summary:
* Fermi-level density of states: 4.575 states/eV per cell
* uncorrected energy: -10.9132 eV per atom
* distance to the lowest polymorph of the same formula: 4.34 kcal/mol of atoms
* DFT formation energy: 0.19 eV/atom
* M_tot: 0.0 μB per formula unit

Geometry as extended XYZ:
```
4
Lattice="-1.097 -1.313 3.861 2.815 0.109 3.146 -0.901 4.232 3.493" Properties=species:S:1:pos:R:3 pbc="T T T"
Re 0.409 1.514 5.250
Pa 0.000 0.000 0.000
Os 0.755 1.825 7.764
Os 0.062 1.203 2.736
```

[4]
The following is a PBE calculation of a relaxed Pa3Re2Si3Os crystal, from Alexandria via LeMat-Bulk.

Summary:
* Fermi-level density of states: 6.982 states/eV per cell
* uncorrected energy: -9.4845 eV per atom
* M_tot: 0.0 μB per formula unit

Geometry as extended XYZ:
```
9
Lattice="3.969 0.000 0.000 0.000 6.960 0.000 0.000 -3.480 6.028" Properties=species:S:1:pos:R:3 pbc="T T T"
Pa 0.000 -1.462 2.533
Pa 0.000 2.018 3.495
Pa 0.000 2.925 0.000
Re 1.985 0.000 4.018
Re 1.985 3.480 2.009
Si 1.985 5.302 0.000
Si 1.985 0.829 1.436
Si 1.985 -2.651 4.592
Os 0.000 0.000 0.000
```

Q: Number 2 is which compound?
A: Pa2ReOs